## TlFeNi2 (SCAN)

Data for a PBEsol-optimized structure of TlFeNi2.

Cell: 3.0435 3.0435 5.7981 Å, 90.00 90.00 90.00°
Each line ends with the local moment (μB).
Sites, in units of the cell vectors:
Fe (0.5000, 0.5000, 0.8018)  3.05
Ni (0.0000, 0.0000, 0.9927)  0.70
Ni (0.5000, 0.5000, 0.2148)  0.25
Tl (0.0000, 0.0000, 0.4908)  -0.04

Properties
ΔE_f: 317 meV per atom
theoretical density: 11675 kg/m³
uncorrected energy: -30.3919 eV per atom